1.
DFT (GGA-PBE) results for a geometry-optimized CaEr4Ga4 structure.

## Properties
Calculated total energy in eV per atom: -3.9443

a = 5.855 Å, b = 9.225 Å, c = 9.225 Å
α = 90.00°, β = 90.00°, γ = 90.00°
Positions (direct):
Er 0.880 0.403 0.166
Er 0.120 0.834 0.403
Er 0.620 0.097 0.334
Er 0.380 0.334 0.903
Er 0.120 0.166 0.597
Er 0.880 0.597 0.834
Er 0.380 0.666 0.097
Er 0.620 0.903 0.666
Ga 0.119 0.856 0.719
Ga 0.381 0.356 0.219
Ga 0.119 0.144 0.281
Ga 0.381 0.644 0.781
Ga 0.881 0.719 0.144
Ga 0.619 0.219 0.644
Ga 0.619 0.781 0.356
Ga 0.881 0.281 0.856
Ca 0.500 0.500 0.500
Ca 0.000 0.000 0.000



2.
DFT (GGA-PBE) results for a geometry-optimized CaErGa6 structure.

## Properties
Calculated total energy in eV per atom: -3.4886

a = 4.436 Å, b = 6.009 Å, c = 6.075 Å
α = 90.00°, β = 90.00°, γ = 90.00°
Positions (direct):
Ga 0.000 0.856 0.737
Ga 0.000 0.263 0.500
Ga 0.500 0.752 0.000
Ga 0.500 0.139 0.254
Ga 0.000 0.856 0.263
Ga 0.500 0.139 0.746
Er 0.500 0.608 0.500
Ca 0.000 0.388 0.000



3.
DFT (GGA-PBE) results for a geometry-optimized CaEr3Ga2 structure.

## Properties
Calculated total energy in eV per atom: -4.0259

a = 5.052 Å, b = 6.659 Å, c = 9.098 Å
α = 90.00°, β = 90.00°, γ = 90.00°
Positions (direct):
Ca 0.500 0.017 0.456
Ca 0.500 0.517 0.544
Er 0.000 0.313 0.325
Er 0.500 0.188 0.826
Er 0.500 0.688 0.174
Er 0.000 0.985 0.040
Er 0.000 0.485 0.960
Er 0.000 0.813 0.675
Ga 0.500 0.730 0.851
Ga 0.000 0.767 0.342
Ga 0.500 0.230 0.149
Ga 0.000 0.267 0.658



4.
DFT (GGA-PBE) results for a geometry-optimized CaErGa4 structure.

## Properties
Calculated total energy in eV per atom: -3.6485

a = 4.320 Å, b = 5.832 Å, c = 5.831 Å
α = 82.93°, β = 68.26°, γ = 68.26°
Positions (direct):
Ga 0.668 0.104 0.061
Ga 0.668 0.561 0.604
Ga 0.332 0.896 0.939
Ga 0.332 0.439 0.396
Er 0.000 0.500 0.000
Ca 0.000 0.000 0.500



5.
DFT (GGA-PBE) results for a geometry-optimized CaErGa4 structure.

## Properties
Calculated total energy in eV per atom: -3.5717

a = 5.538 Å, b = 5.538 Å, c = 5.538 Å
α = 60.00°, β = 60.00°, γ = 60.00°
Positions (direct):
Ga 0.126 0.625 0.625
Ga 0.625 0.126 0.625
Ga 0.625 0.625 0.625
Ga 0.625 0.625 0.126
Er 0.250 0.250 0.250
Ca 0.000 0.000 0.000



6.
DFT (GGA-PBE) results for a geometry-optimized CaEr2Ga6 structure.

## Properties
Calculated total energy in eV per atom: -3.7309

a = 4.362 Å, b = 7.090 Å, c = 7.745 Å
α = 117.24°, β = 106.36°, γ = 90.00°
Positions (direct):
Ga 0.500 0.183 0.000
Ga 0.313 0.119 0.627
Ga 0.500 0.817 0.000
Ga 0.687 0.881 0.373
Ga 0.313 0.508 0.627
Ga 0.687 0.492 0.373
Er 0.125 0.125 0.249
Er 0.875 0.875 0.751
Ca 0.000 0.500 0.000



The records above give, respectively, E_form values of -0.3486 -0.3979 -0.4019 -0.5365 -0.4597 -0.4767 eV/atom.
The records above give, respectively, ρ values of 6.6 6.4 7.4 6.4 6.7 6.5 g/cm³.
The records above give, respectively, total magnetization values of 0.00 0.00 0.00 0.00 0.00 0.00 μB per formula unit.